[1]
Sc2Ta4Bi3N3: optimized geometry, PBE-GGA.

Results
- magnetic moment (μB/f.u.) = 0.00
- total DFT energy (no corrections) (eV per atom) = -8.63

Cell lengths 5.9155, 5.9155, 13.7314 Å; angles 102.29, 102.29, 60.56 degrees
Atoms (fractional coordinates):
Bi 0.7603 0.5811 0.2498
Bi 0.0771 0.9229 0.2500
Bi 0.4189 0.2397 0.2502
Bi 0.5811 0.7603 0.7498
Bi 0.9229 0.0771 0.7500
Bi 0.2397 0.4189 0.7502
N 0.6595 0.1826 0.0000
N 0.0000 0.5000 0.0000
N 0.3405 0.8174 0.0000
N 0.1826 0.6595 0.5000
N 0.5000 0.0000 0.5000
N 0.8174 0.3405 0.5000
Sc 0.3591 0.5271 0.0850
Sc 0.4729 0.6409 0.4150
Sc 0.5271 0.3591 0.5850
Sc 0.6409 0.4729 0.9150
Ta 0.0346 0.1832 0.0731
Ta 0.6909 0.8673 0.0733
Ta 0.1327 0.3091 0.4267
Ta 0.8168 0.9654 0.4269
Ta 0.1832 0.0346 0.5731
Ta 0.8673 0.6909 0.5733
Ta 0.3091 0.1327 0.9267
Ta 0.9654 0.8168 0.9269

[2]
ZrOs: optimized geometry, PBE-GGA.

Results
- magnetic moment (μB/f.u.) = 0.00
- total DFT energy (no corrections) (eV per atom) = -9.94
- formation energy (meV/atom) = -54

Cell lengths 4.9151, 8.2667, 4.6208 Å; angles 90.00, 90.00, 72.71 degrees
Atoms (fractional coordinates):
Os 0.3774 0.2301 0.0000
Os 0.8075 0.3699 0.0000
Os 0.6888 0.8000 0.0000
Os 0.0466 0.2130 0.5000
Os 0.4596 0.3870 0.5000
Zr 0.0577 0.0132 0.0000
Zr 0.2708 0.5868 0.0000
Zr 0.5965 0.0198 0.5000
Zr 0.8163 0.5802 0.5000
Zr 0.2120 0.8000 0.5000

[3]
ZrCuPtPb: optimized geometry, PBE-GGA.

Results
- offset from the most stable computed form (meV/atom) = 0.0
- magnetic moment (μB/f.u.) = 0.00
- total DFT energy (no corrections) (eV per atom) = -5.81

Cell lengths 4.7334, 4.7334, 4.7334 Å; angles 60.00, 60.00, 60.00 degrees
Atoms (fractional coordinates):
Cu 0.7500 0.7500 0.7500
Pb 0.0000 0.0000 0.0000
Pt 0.2500 0.2500 0.2500
Zr 0.5000 0.5000 0.5000

[4]
Li4TaO4: optimized geometry, PBE-GGA.

Results
- magnetic moment (μB/f.u.) = 1.00
- total DFT energy (no corrections) (eV per atom) = -6.46

Cell lengths 5.1592, 5.3517, 7.8379 Å; angles 70.21, 85.87, 67.16 degrees
Atoms (fractional coordinates):
Li 0.2715 0.2245 0.0068
Li 0.1983 0.6007 0.2246
Li 0.2584 0.1001 0.4079
Li 0.7435 0.5177 0.4327
Li 0.2565 0.4823 0.5673
Li 0.7416 0.9000 0.5921
Li 0.8017 0.3993 0.7754
Li 0.7285 0.7755 0.9932
O 0.3179 0.8323 0.0189
O 0.9513 0.4139 0.1920
O 0.9492 0.7951 0.3786
O 0.5178 0.2995 0.4023
O 0.4822 0.7005 0.5977
O 0.0508 0.2049 0.6214
O 0.0487 0.5861 0.8080
O 0.6821 0.1677 0.9811
Ta 0.7531 0.1672 0.2176
Ta 0.2469 0.8328 0.7824

[5]
SrB2Pt: optimized geometry, PBE-GGA.

Results
- magnetic moment (μB/f.u.) = 0.00
- total DFT energy (no corrections) (eV per atom) = -5.57

Cell lengths 9.0960, 9.0960, 9.0960 Å; angles 33.46, 33.46, 33.46 degrees
Atoms (fractional coordinates):
B 0.5230 0.5230 0.2009
B 0.7991 0.4770 0.4770
B 0.4770 0.7991 0.4770
B 0.5230 0.2009 0.5230
B 0.2009 0.5230 0.5230
B 0.4770 0.4770 0.7991
Pt 0.2588 0.2588 0.2588
Pt 0.5000 0.5000 0.5000
Pt 0.7412 0.7412 0.7412
Sr 0.0000 0.0000 0.0000
Sr 0.1323 0.1323 0.1323
Sr 0.8677 0.8677 0.8677

[6]
Rb2Cu2Mo3: optimized geometry, PBE-GGA.

Results
- magnetic moment (μB/f.u.) = 0.03
- total DFT energy (no corrections) (eV per atom) = -5.29

Cell lengths 12.5735, 12.5735, 12.5735 Å; angles 19.74, 19.74, 19.74 degrees
Atoms (fractional coordinates):
Cu 0.0082 0.0082 0.0082
Cu 0.5678 0.5678 0.5678
Mo 0.3111 0.3111 0.3111
Mo 0.6348 0.6348 0.6348
Mo 0.9383 0.9383 0.9383
Rb 0.1771 0.1771 0.1771
Rb 0.7378 0.7378 0.7378

Question: Which of these has the highest total DFT energy (no corrections)?
Answer: Rb2Cu2Mo3

Question: Which value of magnetic moment does entry 6 give?
Answer: 0.03 μB/f.u.

Question: The lowest total DFT energy (no corrections) belongs to which entry?
Answer: ZrOs